GGA-PBE Pr2ErSnC, optimized geometry; SG = P4/mmm, No. 123; energy = -29.795 eV/cell; formation enthalpy at 0 K = -0.4894 eV/atom
1.0
5.162 0.000 0.000
0.000 5.162 0.000
0.000 0.000 4.861
Pr Er Sn C
2 1 1 1
direct
0.000 0.500 0.000
0.500 0.000 0.000
0.000 0.000 0.500
0.500 0.500 0.500
0.000 0.000 0.000